[1]
Entry from the Alexandria database: crystalline Pm12ErTl3 at its relaxed geometry (PBE).

POSCAR file:
```
Pm12ErTl3
1.0
4.969 0.000 0.000
0.000 4.969 0.000
0.000 0.000 20.282
Pm Er Tl
12 1 3
Direct
0.000 0.000 0.000
0.000 0.000 0.247
0.000 0.000 0.500
0.000 0.000 0.753
0.000 0.500 0.123
0.000 0.500 0.370
0.000 0.500 0.630
0.000 0.500 0.877
0.500 0.000 0.123
0.500 0.000 0.370
0.500 0.000 0.630
0.500 0.000 0.877
0.500 0.500 0.500
0.500 0.500 0.000
0.500 0.500 0.244
0.500 0.500 0.756
```

Values from the calculation:
Space-group type ... No. 123
E ... -4.44 eV per atom
Calculated volume ... 500.9 Å³/cell
Theoretical density ... 8.36 g cm⁻³
Crystal system ... tetragonal

=====

[2]
Entry from the Alexandria database: crystalline LaErHgAu at its relaxed geometry (PBE).

POSCAR file:
```
LaErHgAu
1.0
7.490 0.000 0.000
0.000 7.490 0.000
0.000 0.000 7.490
La Er Hg Au
4 4 4 4
Direct
0.000 0.000 0.000
0.000 0.500 0.500
0.500 0.000 0.500
0.500 0.500 0.000
0.000 0.000 0.500
0.000 0.500 0.000
0.500 0.000 0.000
0.500 0.500 0.500
0.250 0.250 0.750
0.250 0.750 0.250
0.750 0.250 0.250
0.750 0.750 0.750
0.250 0.250 0.250
0.250 0.750 0.750
0.750 0.250 0.750
0.750 0.750 0.250
```

Values from the calculation:
Space-group type ... No. 216
E ... -3.89 eV per atom
Calculated volume ... 420.2 Å³/cell
Theoretical density ... 11.12 g cm⁻³
Crystal system ... cubic

=====

[3]
Entry from the Alexandria database: crystalline Tb2ErInN4 at its relaxed geometry (PBE).

POSCAR file:
```
Tb2ErInN4
1.0
5.964 0.000 0.000
0.000 3.454 0.000
-2.092 0.000 5.607
Tb Er In N
2 1 1 4
Direct
0.000 0.000 0.000
0.000 0.500 0.500
0.500 0.000 0.500
0.500 0.500 0.000
0.247 0.500 0.259
0.253 0.000 0.750
0.747 0.000 0.250
0.753 0.500 0.741
```

Values from the calculation:
Space-group type ... No. 10
E ... -7.43 eV per atom
Calculated volume ... 115.5 Å³/cell
Formation energy without anion corrections ... -1.193 eV/atom
Theoretical density ... 9.43 g cm⁻³
Crystal system ... monoclinic

=====

[4]
Entry from the Alexandria database: crystalline Pm4Nd5Ho2 at its relaxed geometry (PBE).

POSCAR file:
```
Pm4Nd5Ho2
1.0
12.166 -1.757 0.000
12.166 1.757 0.000
-1.097 0.000 8.862
Pm Nd Ho
4 5 2
Direct
0.045 0.045 0.362
0.323 0.323 0.529
0.677 0.677 0.471
0.955 0.955 0.638
0.140 0.140 0.115
0.230 0.230 0.822
0.500 0.500 0.000
0.770 0.770 0.178
0.860 0.860 0.885
0.091 0.091 0.733
0.909 0.909 0.267
```

Values from the calculation:
Space-group type ... No. 12
E ... -4.59 eV per atom
Calculated volume ... 378.8 Å³/cell
Theoretical density ... 7.15 g cm⁻³
Crystal system ... monoclinic

=====

[5]
Entry from the Alexandria database: crystalline ZnGaOsO6 at its relaxed geometry (PBE).

POSCAR file:
```
ZnGaOsO6
1.0
5.087 0.000 0.000
-2.544 4.406 0.000
0.000 0.000 8.936
Zn Ga Os O
2 2 2 12
Direct
0.000 0.000 0.000
0.000 0.000 0.500
0.333 0.667 0.250
0.667 0.333 0.750
0.333 0.667 0.750
0.667 0.333 0.250
0.013 0.361 0.632
0.013 0.652 0.868
0.348 0.361 0.868
0.348 0.987 0.632
0.361 0.013 0.132
0.361 0.348 0.368
0.639 0.652 0.632
0.639 0.987 0.868
0.652 0.013 0.368
0.652 0.639 0.132
0.987 0.348 0.132
0.987 0.639 0.368
```

Values from the calculation:
Space-group type ... No. 163
E ... -6.20 eV per atom
Calculated volume ... 200.3 Å³/cell
Formation energy without anion corrections ... -1.167 eV/atom
Theoretical density ... 6.99 g cm⁻³
Crystal system ... trigonal

=====

[6]
Entry from the Alexandria database: crystalline La2PbF at its relaxed geometry (PBE).

POSCAR file:
```
La2PbF
1.0
4.455 0.000 0.000
-2.228 3.858 0.000
0.000 0.000 19.398
La Pb F
6 3 3
Direct
0.000 0.000 0.237
0.000 0.000 0.763
0.333 0.667 0.430
0.333 0.667 0.904
0.667 0.333 0.096
0.667 0.333 0.570
0.000 0.000 0.000
0.333 0.667 0.667
0.667 0.333 0.333
0.000 0.000 0.500
0.333 0.667 0.167
0.667 0.333 0.833
```

Values from the calculation:
Space-group type ... No. 166
E ... -5.28 eV per atom
Calculated volume ... 333.4 Å³/cell
Formation energy without anion corrections ... -1.425 eV/atom
Theoretical density ... 7.53 g cm⁻³
Crystal system ... trigonal

=====

no.,M_tot (μB per formula unit)
1,0.000
2,0.001
3,0.000
4,0.000
5,0.000
6,0.000